(1)
# AlPSe2 | the Alexandria database | PBEsol | optimized geometry
# - N(E_F) (states/eV per atom) = 0.400
# - E (eV per atom) = -4.46
# - excess energy over the best structure of this formula in the dataset (eV/f.u.) = 0.55
# - raw formation energy (eV/atom) = -0.061
data_AlPSe2
_space_group_name_H-M_alt 'R -3 m'
_space_group_IT_number 166
_space_group_name_Hall '-R 3 2"'
_cell_length_a 3.8186
_cell_length_b 3.8186
_cell_length_c 18.3011
_cell_angle_alpha 90.00
_cell_angle_beta 90.00
_cell_angle_gamma 120.00
loop_
_atom_site_label
_atom_site_fract_x
_atom_site_fract_y
_atom_site_fract_z
_atom_site_occupancy
Al1 0.0000 0.0000 0.0000 1
P1 0.0000 0.0000 0.5000 1
Se1 0.0000 0.0000 0.2502 1

=====

(2)
# SrAl2PSe | the Alexandria database | PBEsol | optimized geometry
# - N(E_F) (states/eV per atom) = 0.413
# - E (eV per atom) = -3.75
# - raw formation energy (eV/atom) = 0.188
data_SrAl2PSe
_space_group_name_H-M_alt 'P 4/m m m'
_space_group_IT_number 123
_space_group_name_Hall '-P 4 2'
_cell_length_a 4.877
_cell_length_b 4.877
_cell_length_c 5.380
_cell_angle_alpha 90.00
_cell_angle_beta 90.00
_cell_angle_gamma 90.00
loop_
_atom_site_label
_atom_site_fract_x
_atom_site_fract_y
_atom_site_fract_z
_atom_site_occupancy
Sr1 0.000 0.000 0.000 1
Al1 0.000 0.500 0.500 1
P1 0.500 0.500 0.000 1
Se1 0.500 0.500 0.500 1

=====

(3)
# AlSi2P | the Alexandria database | PBEsol | optimized geometry
# - N(E_F) (states/eV per atom) = 0.390
# - E (eV per atom) = -5.29
# - excess energy over the best structure of this formula in the dataset (eV/f.u.) = 0.00
# - raw formation energy (eV/atom) = 0.059
data_AlSi2P
_space_group_name_H-M_alt 'R 3 m'
_space_group_IT_number 160
_space_group_name_Hall 'R 3 -2"'
_cell_length_a 3.4251
_cell_length_b 3.4251
_cell_length_c 18.8888
_cell_angle_alpha 90.00
_cell_angle_beta 90.00
_cell_angle_gamma 120.00
loop_
_atom_site_label
_atom_site_fract_x
_atom_site_fract_y
_atom_site_fract_z
_atom_site_occupancy
Al1 0.0000 0.0000 0.0000 1
Si1 0.0000 0.0000 0.2411 1
Si2 0.0000 0.0000 0.4920 1
P1 0.0000 0.0000 0.7513 1

=====

Among the records above, which one has the lowest N(E_F)?
AlSi2P

=====

Which formula does entry 1 have?
AlPSe2

=====

Which value of raw formation energy does entry 3 give?
0.059 eV/atom

=====

Among the records above, which one has the highest raw formation energy?
SrAl2PSe